The following is a PBE calculation of a relaxed structure of LiV2Cu, from Alexandria via LeMat-Bulk.

CIF file:
```
data_LiV2Cu
_cell_length_a 6.8630
_cell_length_b 6.8630
_cell_length_c 4.5767
_cell_angle_alpha 90.00
_cell_angle_beta 90.00
_cell_angle_gamma 90.00
_symmetry_space_group_name_H-M 'I -4 2 d'
_symmetry_Int_Tables_number 122
_symmetry_space_group_name_Hall 'I -4 2bw'
loop_
_atom_site_label
_atom_site_fract_x
_atom_site_fract_y
_atom_site_fract_z
_atom_site_occupancy
Li1 0.0000 0.0000 0.0000 1
V1 0.2430 0.2500 0.6250 1
Cu1 0.0000 0.0000 0.5000 1
```

***

The following is a PBE calculation of a relaxed structure of LiVCu2, from Alexandria via LeMat-Bulk.

CIF file:
```
data_LiVCu2
_cell_length_a 6.6554
_cell_length_b 6.6554
_cell_length_c 5.0313
_cell_angle_alpha 90.00
_cell_angle_beta 90.00
_cell_angle_gamma 90.00
_symmetry_space_group_name_H-M 'I -4 2 d'
_symmetry_Int_Tables_number 122
_symmetry_space_group_name_Hall 'I -4 2bw'
loop_
_atom_site_label
_atom_site_fract_x
_atom_site_fract_y
_atom_site_fract_z
_atom_site_occupancy
Li1 0.0000 0.0000 0.0000 1
V1 0.0000 0.0000 0.5000 1
Cu1 0.2323 0.2500 0.1250 1
```

***

The following is a PBE calculation of a relaxed structure of LiV2Cu, from Alexandria via LeMat-Bulk.

CIF file:
```
data_LiV2Cu
_cell_length_a 5.9187
_cell_length_b 5.9187
_cell_length_c 5.9187
_cell_angle_alpha 90.00
_cell_angle_beta 90.00
_cell_angle_gamma 90.00
_symmetry_space_group_name_H-M 'F m -3 m'
_symmetry_Int_Tables_number 225
_symmetry_space_group_name_Hall '-F 4 2 3'
loop_
_atom_site_label
_atom_site_fract_x
_atom_site_fract_y
_atom_site_fract_z
_atom_site_occupancy
Li1 0.0000 0.0000 0.0000 1
V1 0.2500 0.2500 0.2500 1
Cu1 0.0000 0.0000 0.5000 1
```

***

no.,energy relative to the elements (kJ/mol of atoms),final energy (eV/cell)
1,59.3,-87.16
2,49.3,-68.73
3,48.0,-89.04